Here is a relaxed Na6CrF12 crystal from Alexandria via LeMat-Bulk. Energies are from PBE+U. Values from VASP.

Geometry as Quantum ESPRESSO input:
```
&SYSTEM
  ibrav = 0, nat = 19, ntyp = 3
/
ATOMIC_SPECIES
Na 22.99 Na.upf
Cr 52.00 Cr.upf
F 19.00 F.upf
ATOMIC_POSITIONS crystal
Na 0.1074 0.7900 0.6510
Na 0.2100 0.3490 0.8926
Na 0.3490 0.8926 0.2100
Na 0.6510 0.1074 0.7900
Na 0.7900 0.6510 0.1074
Na 0.8926 0.2100 0.3490
Cr 0.5000 0.5000 0.5000
F 0.0424 0.9127 0.3383
F 0.0873 0.6617 0.9576
F 0.2135 0.4448 0.5131
F 0.3383 0.0424 0.9127
F 0.4448 0.5131 0.2135
F 0.4869 0.7865 0.5552
F 0.5131 0.2135 0.4448
F 0.5552 0.4869 0.7865
F 0.6617 0.9576 0.0873
F 0.7865 0.5552 0.4869
F 0.9127 0.3383 0.0424
F 0.9576 0.0873 0.6617
CELL_PARAMETERS angstrom
4.9322 2.8476 3.1535
-4.9322 2.8476 3.1535
0.0000 -5.6953 3.1535
```

Properties
Raw total energy = -82.917 eV for the cell shown
Volume = 14.0 Å³/atom
Magnetic moment = 4.00 μB/f.u.
ρ = 2.61 g cm⁻³